## RbTlCoBr4 (PBE)

Data for a geometry-optimized RbTlCoBr4 structure.

## Properties
**Raw formation energy**: -0.89 eV per atom

Structure (CIF):
```
data_RbTlCoBr4
_chemical_formula_sum 'Rb2 Tl2 Co2 Br8'
_cell_length_a 7.453
_cell_length_b 7.517
_cell_length_c 9.581
_cell_angle_alpha 90.00
_cell_angle_beta 107.72
_cell_angle_gamma 90.00
_symmetry_space_group_name_H-M 'P 1'
_symmetry_Int_Tables_number 1
loop_
_symmetry_equiv_pos_as_xyz
'x,y,z'
loop_
_atom_site_label
_atom_site_fract_x
_atom_site_fract_y
_atom_site_fract_z
Rb1 0.216 0.250 0.042
Rb2 0.784 0.750 0.958
Tl1 0.268 0.250 0.562
Tl2 0.732 0.750 0.438
Co1 0.210 0.750 0.784
Co2 0.790 0.250 0.216
Br1 0.001 0.001 0.281
Br2 0.001 0.499 0.281
Br3 0.356 0.750 0.044
Br4 0.418 0.750 0.637
Br5 0.582 0.250 0.363
Br6 0.644 0.250 0.956
Br7 0.999 0.501 0.719
Br8 0.999 0.999 0.719
```

---

## PmPu2Hg5 (PBE)

Data for a geometry-optimized PmPu2Hg5 structure.

## Properties
**VASP energy**: -4.610 eV/atom

Structure (CIF):
```
data_PmPu2Hg5
_chemical_formula_sum 'Pm2 Pu4 Hg10'
_cell_length_a 4.674
_cell_length_b 4.674
_cell_length_c 18.460
_cell_angle_alpha 90.00
_cell_angle_beta 90.00
_cell_angle_gamma 90.00
_symmetry_space_group_name_H-M 'P 1'
_symmetry_Int_Tables_number 1
loop_
_symmetry_equiv_pos_as_xyz
'x,y,z'
loop_
_atom_site_label
_atom_site_fract_x
_atom_site_fract_y
_atom_site_fract_z
Pm1 0.000 0.000 0.000
Pm2 0.500 0.500 0.500
Pu1 0.000 0.000 0.255
Pu2 0.000 0.000 0.745
Pu3 0.500 0.500 0.245
Pu4 0.500 0.500 0.755
Hg1 0.000 0.000 0.500
Hg2 0.000 0.500 0.124
Hg3 0.000 0.500 0.376
Hg4 0.000 0.500 0.624
Hg5 0.000 0.500 0.876
Hg6 0.500 0.000 0.124
Hg7 0.500 0.000 0.376
Hg8 0.500 0.000 0.624
Hg9 0.500 0.000 0.876
Hg10 0.500 0.500 0.000
```

---

## LiZn3Cu12 (PBE)

Data for a geometry-optimized LiZn3Cu12 structure.

## Properties
**VASP energy**: -3.488 eV/atom

Structure (CIF):
```
data_LiZn3Cu12
_chemical_formula_sum 'Li1 Zn3 Cu12'
_cell_length_a 3.701
_cell_length_b 3.701
_cell_length_c 14.386
_cell_angle_alpha 90.00
_cell_angle_beta 90.00
_cell_angle_gamma 90.00
_symmetry_space_group_name_H-M 'P 1'
_symmetry_Int_Tables_number 1
loop_
_symmetry_equiv_pos_as_xyz
'x,y,z'
loop_
_atom_site_label
_atom_site_fract_x
_atom_site_fract_y
_atom_site_fract_z
Li1 0.000 0.000 0.000
Zn1 0.000 0.000 0.248
Zn2 0.000 0.000 0.500
Zn3 0.000 0.000 0.752
Cu1 0.000 0.500 0.123
Cu2 0.000 0.500 0.374
Cu3 0.000 0.500 0.626
Cu4 0.000 0.500 0.877
Cu5 0.500 0.000 0.123
Cu6 0.500 0.000 0.374
Cu7 0.500 0.000 0.626
Cu8 0.500 0.000 0.877
Cu9 0.500 0.500 0.000
Cu10 0.500 0.500 0.248
Cu11 0.500 0.500 0.500
Cu12 0.500 0.500 0.752
```